A relaxed Ac2SnPd6 crystal. Source: the Alexandria database, functional PBE-GGA.

The energy above the most stable polymorph in this dataset comes out at 0.000 eV/atom. The formation enthalpy at 0 K comes out at -6.9 eV per formula unit. Its space group is C2/m.

Structure (POSCAR):
```
Ac2SnPd6
1.0
5.180 -2.990 0.000
5.180 2.990 0.000
-0.003 0.000 6.218
Ac Sn Pd
2 1 6
direct
0.168 0.168 0.301
0.832 0.832 0.699
0.500 0.500 0.500
0.151 0.675 0.178
0.325 0.325 0.819
0.325 0.849 0.822
0.675 0.151 0.178
0.675 0.675 0.181
0.849 0.325 0.822
```

A relaxed TmTl2IO8 crystal. Source: the Alexandria database, functional PBE-GGA.

The energy relative to the elements, uncorrected is -1.0834 eV/atom. Its space group is P-1.

Structure (POSCAR):
```
TmTl2IO8
1.0
5.065 0.000 0.000
-0.196 5.082 0.000
-0.010 -0.010 6.733
Tm Tl I O
1 2 1 8
direct
0.000 0.000 0.000
0.499 0.499 0.750
0.501 0.501 0.250
0.000 0.000 0.500
0.179 0.831 0.288
0.179 0.832 0.712
0.270 0.286 0.500
0.298 0.307 0.001
0.702 0.693 0.999
0.730 0.714 0.500
0.821 0.168 0.288
0.821 0.169 0.712
```

| no. | V (Å³ per cell) |
| --- | --- |
| 1 | 192.6 |
| 2 | 173.3 |